1.
The following is a DFT calculation (PBE) of crystalline BeSnPb3 at its relaxed geometry.

Computed properties:
Magnetic moment, μB per cell: 0.0

Cell: 5.1740 5.1740 5.1740 Å, 90.00 90.00 90.00°
Sites, in units of the cell vectors:
Pb: 0.0000 0.5000 0.0000
Pb: 0.0000 0.0000 0.5000
Pb: 0.5000 0.0000 0.0000
Be: 0.0000 0.0000 0.0000
Sn: 0.5000 0.5000 0.5000

2.
The following is a DFT calculation (PBE) of crystalline BeSnPb3 at its relaxed geometry.

Computed properties:
Magnetic moment, μB per cell: 0.0

Cell: 5.8633 5.8633 5.8633 Å, 90.00 90.00 90.00°
Sites, in units of the cell vectors:
Pb: 0.0000 0.5000 0.0000
Pb: 0.0000 0.0000 0.5000
Pb: 0.5000 0.0000 0.0000
Be: 0.5000 0.5000 0.5000
Sn: 0.0000 0.0000 0.0000

Each structure's energy above the most stable one, in eV/atom: 1 0.000; 2 0.755.

1.
The following is a DFT calculation (PBE) of crystalline Be3SnPb at its relaxed geometry.

Computed properties:
Magnetic moment, μB per cell: 0.0

Cell: 4.7113 4.7113 4.7113 Å, 90.00 90.00 90.00°
Sites, in units of the cell vectors:
Pb: 0.5000 0.5000 0.5000
Be: 0.0000 0.5000 0.0000
Be: 0.0000 0.0000 0.5000
Be: 0.5000 0.0000 0.0000
Sn: 0.0000 0.0000 0.0000

2.
The following is a DFT calculation (PBE) of crystalline Be3SnPb at its relaxed geometry.

Computed properties:
Magnetic moment, μB per cell: 0.0

Cell: 4.7339 4.7339 4.7339 Å, 90.00 90.00 90.00°
Sites, in units of the cell vectors:
Pb: 0.0000 0.0000 0.0000
Be: 0.0000 0.5000 0.0000
Be: 0.0000 0.0000 0.5000
Be: 0.5000 0.0000 0.0000
Sn: 0.5000 0.5000 0.5000

Each structure's energy above the most stable one, in eV/atom: 1 0.000; 2 0.173.

1.
The following is a DFT calculation (PBE) of crystalline Ta2BePb at its relaxed geometry.

Computed properties:
Magnetic moment, μB per cell: 0.0

Cell: 4.4130 4.0074 4.0074 Å, 90.00 90.00 90.00°
Sites, in units of the cell vectors:
Pb: 0.5000 0.0000 0.5000
Be: 0.5000 0.5000 0.0000
Ta: 0.0000 0.0000 0.0000
Ta: 0.0000 0.5000 0.5000

2.
The following is a DFT calculation (PBE) of crystalline Ta2BePb at its relaxed geometry.

Computed properties:
Magnetic moment, μB per cell: 0.0

Cell: 7.4777 7.4777 7.4777 Å, 26.30 26.30 26.30°
Sites, in units of the cell vectors:
Pb: 0.7500 0.7500 0.7500
Be: 0.2500 0.2500 0.2500
Ta: 0.9747 0.9747 0.9747
Ta: 0.5253 0.5253 0.5253

3.
The following is a DFT calculation (PBE) of crystalline Ta2BePb at its relaxed geometry.

Computed properties:
Magnetic moment, μB per cell: 0.0

Cell: 5.2377 5.2377 5.2377 Å, 134.70 134.70 66.00°
Sites, in units of the cell vectors:
Pb: 0.7500 0.2500 0.5000
Be: 0.5000 0.5000 0.0000
Ta: 0.0000 0.0000 0.0000
Ta: 0.2500 0.7500 0.5000

4.
The following is a DFT calculation (PBE) of crystalline Ta2BePb at its relaxed geometry.

Computed properties:
Magnetic moment, μB per cell: 0.0

Cell: 3.5642 3.4297 6.1263 Å, 73.81 90.00 90.00°
Sites, in units of the cell vectors:
Pb: 0.5000 0.5633 0.7425
Be: 0.0000 0.7218 0.4383
Ta: 0.0000 0.9179 0.0339
Ta: 0.5000 0.2970 0.2853

Each structure's energy above the most stable one, in eV/atom: 1 0.132; 2 0.034; 3 0.197; 4 0.000.